! Sc2BiSb PBE optimized geometry; values from VASP
! - ΔE_f (raw) (meV per atom) = -801.5
&SYSTEM
  ibrav = 0, nat = 4, ntyp = 3
/
ATOMIC_SPECIES
Sc 44.96 Sc.upf
Sb 121.76 Sb.upf
Bi 208.98 Bi.upf
CELL_PARAMETERS angstrom
-2.4890 1.5595 -3.0139
-1.7885 -2.5853 -2.7979
-6.8977 -1.0508 2.2050
ATOMIC_POSITIONS crystal
Sc 0.2525 0.2525 0.2421
Sc 0.7475 0.7475 0.7579
Sb 0.0000 0.0000 0.0000
Bi 0.5000 0.5000 0.5000